4
Lattice="5.212 0.000 0.000 2.606 4.513 0.000 2.606 1.504 4.255" Properties=species:S:1:pos:R:3 comment="La2HgS | Alexandria | meta-GGA SCAN | single point on PBEsol structure" formation_energy_uncorrected_ev_per_fu=-4.24 density_g_cm3=8.47 pbc="T T T"
S 0.000 0.000 0.000
Hg 5.212 3.009 2.128
La 2.606 1.504 1.064
La 7.817 4.513 3.191